# 1
# PBE-GGA HoEr6Tm4, optimized geometry
data_HoEr6Tm4
_chemical_formula_sum 'Ho2 Er12 Tm8'
_symmetry_space_group_name_H-M 'I -4 2 m'
_symmetry_Int_Tables_number 121
_symmetry_space_group_name_Hall 'I -4 2'
_cell_length_a 6.454
_cell_length_b 6.454
_cell_length_c 16.839
_cell_angle_alpha 90.00
_cell_angle_beta 90.00
_cell_angle_gamma 90.00
loop_
_atom_site_label
_atom_site_fract_x
_atom_site_fract_y
_atom_site_fract_z
Ho1 0.000 0.000 0.000
Er1 0.000 0.500 0.000
Er2 0.186 0.186 0.172
Tm1 0.180 0.180 0.367
# energy relative to the lowest polymorph listed for this composition	0.183	eV per atom
# formation energy	0.3130	eV/atom


# 2
# PBE-GGA Ho4Er5Tm2, optimized geometry
data_Ho4Er5Tm2
_chemical_formula_sum 'Ho8 Er10 Tm4'
_symmetry_space_group_name_H-M 'C 1 2/m 1'
_symmetry_Int_Tables_number 12
_cell_length_a 23.404
_cell_length_b 3.436
_cell_length_c 8.550
_cell_angle_alpha 90.00
_cell_angle_beta 97.18
_cell_angle_gamma 90.00
loop_
_symmetry_equiv_pos_as_xyz
'x,y,z'
'-x,-y,-z'
'-x,y,-z'
'x,-y,z'
'x+1/2,y+1/2,z'
'-x+1/2,-y+1/2,-z'
'-x+1/2,y+1/2,-z'
'x+1/2,-y+1/2,z'
loop_
_atom_site_label
_atom_site_fract_x
_atom_site_fract_y
_atom_site_fract_z
Ho1 0.045 0.000 0.360
Ho2 0.176 0.500 0.472
Er1 0.000 0.500 0.000
Er2 0.141 0.000 0.119
Er3 0.232 0.000 0.825
Tm1 0.092 0.000 0.740
# energy relative to the lowest polymorph listed for this composition	0.136	eV per atom
# formation energy	0.1584	eV/atom


# 3
# PBE-GGA Ho6Er2Tm, optimized geometry
data_Ho6Er2Tm
_chemical_formula_sum 'Ho24 Er8 Tm4'
_symmetry_space_group_name_H-M 'C 1 2/c 1'
_symmetry_Int_Tables_number 15
_cell_length_a 13.182
_cell_length_b 11.544
_cell_length_c 8.901
_cell_angle_alpha 90.00
_cell_angle_beta 125.20
_cell_angle_gamma 90.00
loop_
_symmetry_equiv_pos_as_xyz
'x,y,z'
'-x,-y,-z'
'-x,y,-z+1/2'
'x,-y,z+1/2'
'x+1/2,y+1/2,z'
'-x+1/2,-y+1/2,-z'
'-x+1/2,y+1/2,-z+1/2'
'x+1/2,-y+1/2,z+1/2'
loop_
_atom_site_label
_atom_site_fract_x
_atom_site_fract_y
_atom_site_fract_z
Ho1 0.083 0.112 0.487
Ho2 0.153 0.150 0.907
Ho3 0.205 0.410 0.631
Er1 0.109 0.328 0.195
Tm1 0.000 0.414 0.750
# energy relative to the lowest polymorph listed for this composition	0.051	eV per atom
# formation energy	0.0733	eV/atom


# 4
# PBE-GGA Ho2ErTm7, optimized geometry
data_Ho2ErTm7
_chemical_formula_sum 'Ho4 Er2 Tm14'
_symmetry_space_group_name_H-M 'I m m m'
_symmetry_Int_Tables_number 71
_symmetry_space_group_name_Hall '-I 2 2'
_cell_length_a 5.338
_cell_length_b 6.920
_cell_length_c 16.401
_cell_angle_alpha 90.00
_cell_angle_beta 90.00
_cell_angle_gamma 90.00
loop_
_atom_site_label
_atom_site_fract_x
_atom_site_fract_y
_atom_site_fract_z
Ho1 0.000 0.000 0.199
Er1 0.000 0.500 0.000
Tm1 0.000 0.000 0.000
Tm2 0.000 0.250 0.390
Tm3 0.000 0.500 0.200
# energy relative to the lowest polymorph listed for this composition	0.000	eV per atom
# formation energy	0.0568	eV/atom


# 5
# PBE-GGA HoEr4Tm6, optimized geometry
data_HoEr4Tm6
_chemical_formula_sum 'Ho4 Er16 Tm24'
_symmetry_space_group_name_H-M 'C m c m'
_symmetry_Int_Tables_number 63
_symmetry_space_group_name_Hall '-C 2c 2'
_cell_length_a 5.542
_cell_length_b 9.547
_cell_length_c 25.282
_cell_angle_alpha 90.00
_cell_angle_beta 90.00
_cell_angle_gamma 90.00
loop_
_atom_site_label
_atom_site_fract_x
_atom_site_fract_y
_atom_site_fract_z
Ho1 0.000 0.171 0.250
Er1 0.000 0.165 0.542
Er2 0.000 0.494 0.622
Tm1 0.000 0.162 0.682
Tm2 0.000 0.172 0.104
Tm3 0.000 0.496 0.750
Tm4 0.000 0.500 0.000
# energy relative to the lowest polymorph listed for this composition	0.000	eV per atom
# formation energy	0.1309	eV/atom


# 6
# PBE-GGA Ho3Er6Tm2, optimized geometry
data_Ho3Er6Tm2
_chemical_formula_sum 'Ho6 Er12 Tm4'
_symmetry_space_group_name_H-M 'I 4/m m m'
_symmetry_Int_Tables_number 139
_symmetry_space_group_name_Hall '-I 4 2'
_cell_length_a 4.660
_cell_length_b 4.660
_cell_length_c 32.708
_cell_angle_alpha 90.00
_cell_angle_beta 90.00
_cell_angle_gamma 90.00
loop_
_atom_site_label
_atom_site_fract_x
_atom_site_fract_y
_atom_site_fract_z
Ho1 0.000 0.000 0.000
Ho2 0.000 0.000 0.200
Er1 0.000 0.000 0.304
Er2 0.000 0.500 0.121
Tm1 0.000 0.000 0.454
# energy relative to the lowest polymorph listed for this composition	0.270	eV per atom
# formation energy	0.2945	eV/atom


# 7
# PBE-GGA Ho5ErTm5, optimized geometry
data_Ho5ErTm5
_chemical_formula_sum 'Ho10 Er2 Tm10'
_symmetry_space_group_name_H-M 'C 1 2/m 1'
_symmetry_Int_Tables_number 12
_cell_length_a 18.613
_cell_length_b 5.830
_cell_length_c 6.838
_cell_angle_alpha 90.00
_cell_angle_beta 111.38
_cell_angle_gamma 90.00
loop_
_symmetry_equiv_pos_as_xyz
'x,y,z'
'-x,-y,-z'
'-x,y,-z'
'x,-y,z'
'x+1/2,y+1/2,z'
'-x+1/2,-y+1/2,-z'
'-x+1/2,y+1/2,-z'
'x+1/2,-y+1/2,z'
loop_
_atom_site_label
_atom_site_fract_x
_atom_site_fract_y
_atom_site_fract_z
Ho1 0.000 0.000 0.000
Ho2 0.179 0.500 0.424
Ho3 0.179 0.500 0.933
Er1 0.000 0.500 0.000
Tm1 0.000 0.500 0.500
Tm2 0.123 0.000 0.625
Tm3 0.169 0.000 0.170
# energy relative to the lowest polymorph listed for this composition	0.143	eV per atom
# formation energy	0.2940	eV/atom


# 8
# PBE-GGA Ho2Er2Tm7, optimized geometry
data_Ho2Er2Tm7
_chemical_formula_sum 'Ho4 Er4 Tm14'
_symmetry_space_group_name_H-M 'C 1 2/m 1'
_symmetry_Int_Tables_number 12
_cell_length_a 10.956
_cell_length_b 11.358
_cell_length_c 5.946
_cell_angle_alpha 90.00
_cell_angle_beta 113.54
_cell_angle_gamma 90.00
loop_
_symmetry_equiv_pos_as_xyz
'x,y,z'
'-x,-y,-z'
'-x,y,-z'
'x,-y,z'
'x+1/2,y+1/2,z'
'-x+1/2,-y+1/2,-z'
'-x+1/2,y+1/2,-z'
'x+1/2,-y+1/2,z'
loop_
_atom_site_label
_atom_site_fract_x
_atom_site_fract_y
_atom_site_fract_z
Ho1 0.000 0.215 0.000
Er1 0.091 0.500 0.304
Tm1 0.000 0.000 0.500
Tm2 0.173 0.237 0.677
Tm3 0.231 0.000 0.082
# energy relative to the lowest polymorph listed for this composition	0.073	eV per atom
# formation energy	0.1682	eV/atom


# 9
# PBE-GGA Ho2Er3Tm6, optimized geometry
data_Ho2Er3Tm6
_chemical_formula_sum 'Ho6 Er9 Tm18'
_symmetry_space_group_name_H-M 'R -3 m'
_symmetry_Int_Tables_number 166
_symmetry_space_group_name_Hall '-R 3 2"'
_cell_length_a 4.4724
_cell_length_b 4.4724
_cell_length_c 65.6852
_cell_angle_alpha 90.00
_cell_angle_beta 90.00
_cell_angle_gamma 120.00
loop_
_atom_site_label
_atom_site_fract_x
_atom_site_fract_y
_atom_site_fract_z
Ho1 0.0000 0.0000 0.0307
Er1 0.0000 0.0000 0.2385
Er2 0.0000 0.0000 0.5000
Tm1 0.0000 0.0000 0.1306
Tm2 0.0000 0.0000 0.3293
Tm3 0.0000 0.0000 0.3941
# energy relative to the lowest polymorph listed for this composition	0.527	eV per atom
# formation energy	0.8207	eV/atom


# 10
# PBE-GGA HoErTm, optimized geometry
data_HoErTm
_chemical_formula_sum 'Ho1 Er1 Tm1'
_symmetry_space_group_name_H-M 'P 3 m 1'
_symmetry_Int_Tables_number 156
_cell_length_a 5.5248
_cell_length_b 5.5248
_cell_length_c 3.4352
_cell_angle_alpha 90.00
_cell_angle_beta 90.00
_cell_angle_gamma 120.00
loop_
_symmetry_equiv_pos_as_xyz
'x,y,z'
'-y,x-y,z'
'-x+y,-x,z'
'-y,-x,z'
'-x+y,y,z'
'x,x-y,z'
loop_
_atom_site_label
_atom_site_fract_x
_atom_site_fract_y
_atom_site_fract_z
Ho1 0.0000 0.0000 0.0000
Er1 0.6667 0.3333 0.5009
Tm1 0.3333 0.6667 0.4989
# energy relative to the lowest polymorph listed for this composition	0.056	eV per atom
# formation energy	0.0787	eV/atom


# 11
# PBE-GGA HoErTm, optimized geometry
data_HoErTm
_chemical_formula_sum 'Ho4 Er4 Tm4'
_symmetry_space_group_name_H-M 'C 1 2/m 1'
_symmetry_Int_Tables_number 12
_cell_length_a 12.863
_cell_length_b 3.502
_cell_length_c 9.456
_cell_angle_alpha 90.00
_cell_angle_beta 120.33
_cell_angle_gamma 90.00
loop_
_symmetry_equiv_pos_as_xyz
'x,y,z'
'-x,-y,-z'
'-x,y,-z'
'x,-y,z'
'x+1/2,y+1/2,z'
'-x+1/2,-y+1/2,-z'
'-x+1/2,y+1/2,-z'
'x+1/2,-y+1/2,z'
loop_
_atom_site_label
_atom_site_fract_x
_atom_site_fract_y
_atom_site_fract_z
Ho1 0.106 0.000 0.330
Er1 0.140 0.500 0.024
Tm1 0.126 0.500 0.664
# energy relative to the lowest polymorph listed for this composition	0.015	eV per atom
# formation energy	0.0380	eV/atom


# 12
# PBE-GGA Ho2Er3Tm2, optimized geometry
data_Ho2Er3Tm2
_chemical_formula_sum 'Ho4 Er6 Tm4'
_symmetry_space_group_name_H-M 'C 1 2/m 1'
_symmetry_Int_Tables_number 12
_cell_length_a 11.054
_cell_length_b 4.945
_cell_length_c 7.821
_cell_angle_alpha 90.00
_cell_angle_beta 98.16
_cell_angle_gamma 90.00
loop_
_symmetry_equiv_pos_as_xyz
'x,y,z'
'-x,-y,-z'
'-x,y,-z'
'x,-y,z'
'x+1/2,y+1/2,z'
'-x+1/2,-y+1/2,-z'
'-x+1/2,y+1/2,-z'
'x+1/2,-y+1/2,z'
loop_
_atom_site_label
_atom_site_fract_x
_atom_site_fract_y
_atom_site_fract_z
Ho1 0.214 0.000 0.143
Er1 0.000 0.500 0.000
Er2 0.143 0.500 0.429
Tm1 0.071 0.000 0.714
# energy relative to the lowest polymorph listed for this composition	0.000	eV per atom
# formation energy	0.0240	eV/atom


# 13
# PBE-GGA Ho9Er3Tm2, optimized geometry
data_Ho9Er3Tm2
_chemical_formula_sum 'Ho9 Er3 Tm2'
_symmetry_space_group_name_H-M 'P -1'
_symmetry_Int_Tables_number 2
_cell_length_a 5.246
_cell_length_b 6.817
_cell_length_c 12.615
_cell_angle_alpha 89.78
_cell_angle_beta 89.91
_cell_angle_gamma 90.00
loop_
_symmetry_equiv_pos_as_xyz
'x,y,z'
'-x,-y,-z'
loop_
_atom_site_label
_atom_site_fract_x
_atom_site_fract_y
_atom_site_fract_z
Ho1 0.000 0.000 0.000
Ho2 0.001 0.252 0.258
Ho3 0.498 0.750 0.154
Ho4 0.499 0.984 0.629
Ho5 0.500 0.484 0.371
Er1 0.000 0.250 0.530
Er2 0.000 0.500 0.000
Tm1 0.500 0.251 0.106
# formation energy	0.2228	eV/atom


# 14
# PBE-GGA Ho7Er6Tm16, optimized geometry
data_Ho7Er6Tm16
_chemical_formula_sum 'Ho28 Er24 Tm64'
_symmetry_space_group_name_H-M 'F m -3 m'
_symmetry_Int_Tables_number 225
_symmetry_space_group_name_Hall '-F 4 2 3'
_cell_length_a 15.477
_cell_length_b 15.477
_cell_length_c 15.477
_cell_angle_alpha 90.00
_cell_angle_beta 90.00
_cell_angle_gamma 90.00
loop_
_atom_site_label
_atom_site_fract_x
_atom_site_fract_y
_atom_site_fract_z
Ho1 0.000 0.000 0.000
Ho2 0.000 0.250 0.250
Er1 0.000 0.000 0.276
Tm1 0.123 0.123 0.123
Tm2 0.152 0.152 0.348
# formation energy	0.2600	eV/atom


# 15
# PBE-GGA Ho2ErTm7, optimized geometry
data_Ho2ErTm7
_chemical_formula_sum 'Ho4 Er2 Tm14'
_symmetry_space_group_name_H-M 'C m m m'
_symmetry_Int_Tables_number 65
_symmetry_space_group_name_Hall '-C 2 2'
_cell_length_a 8.598
_cell_length_b 16.905
_cell_length_c 5.120
_cell_angle_alpha 90.00
_cell_angle_beta 90.00
_cell_angle_gamma 90.00
loop_
_atom_site_label
_atom_site_fract_x
_atom_site_fract_y
_atom_site_fract_z
Ho1 0.000 0.201 0.000
Er1 0.000 0.500 0.500
Tm1 0.000 0.000 0.000
Tm2 0.000 0.304 0.500
Tm3 0.178 0.392 0.000
# energy relative to the lowest polymorph listed for this composition	0.656	eV per atom
# formation energy	0.7133	eV/atom


# 16
# PBE-GGA Ho4ErTm4, optimized geometry
data_Ho4ErTm4
_chemical_formula_sum 'Ho8 Er2 Tm8'
_symmetry_space_group_name_H-M 'I 4/m m m'
_symmetry_Int_Tables_number 139
_symmetry_space_group_name_Hall '-I 4 2'
_cell_length_a 10.502
_cell_length_b 10.502
_cell_length_c 4.940
_cell_angle_alpha 90.00
_cell_angle_beta 90.00
_cell_angle_gamma 90.00
loop_
_atom_site_label
_atom_site_fract_x
_atom_site_fract_y
_atom_site_fract_z
Ho1 0.167 0.167 0.000
Er1 0.000 0.000 0.500
Tm1 0.000 0.334 0.500
# formation energy	0.0241	eV/atom


# 17
# PBE-GGA HoEr5Tm2, optimized geometry
data_HoEr5Tm2
_chemical_formula_sum 'Ho4 Er20 Tm8'
_symmetry_space_group_name_H-M 'C 1 2/m 1'
_symmetry_Int_Tables_number 12
_cell_length_a 16.116
_cell_length_b 5.534
_cell_length_c 11.251
_cell_angle_alpha 90.00
_cell_angle_beta 90.06
_cell_angle_gamma 90.00
loop_
_symmetry_equiv_pos_as_xyz
'x,y,z'
'-x,-y,-z'
'-x,y,-z'
'x,-y,z'
'x+1/2,y+1/2,z'
'-x+1/2,-y+1/2,-z'
'-x+1/2,y+1/2,-z'
'x+1/2,-y+1/2,z'
loop_
_atom_site_label
_atom_site_fract_x
_atom_site_fract_y
_atom_site_fract_z
Ho1 0.227 0.000 0.250
Er1 0.045 0.000 0.388
Er2 0.047 0.000 0.111
Er3 0.088 0.500 0.579
Er4 0.088 0.500 0.920
Er5 0.106 0.500 0.250
Tm1 0.214 0.000 0.579
Tm2 0.214 0.000 0.920
# energy relative to the lowest polymorph listed for this composition	0.124	eV per atom
# formation energy	0.1443	eV/atom


# 18
# PBE-GGA Ho2Er5Tm, optimized geometry
data_Ho2Er5Tm
_chemical_formula_sum 'Ho8 Er20 Tm4'
_symmetry_space_group_name_H-M 'C 1 2/c 1'
_symmetry_Int_Tables_number 15
_cell_length_a 6.527
_cell_length_b 16.162
_cell_length_c 9.372
_cell_angle_alpha 90.00
_cell_angle_beta 96.12
_cell_angle_gamma 90.00
loop_
_symmetry_equiv_pos_as_xyz
'x,y,z'
'-x,-y,-z'
'-x,y,-z+1/2'
'x,-y,z+1/2'
'x+1/2,y+1/2,z'
'-x+1/2,-y+1/2,-z'
'-x+1/2,y+1/2,-z+1/2'
'x+1/2,-y+1/2,z+1/2'
loop_
_atom_site_label
_atom_site_fract_x
_atom_site_fract_y
_atom_site_fract_z
Ho1 0.162 0.064 0.426
Er1 0.000 0.105 0.750
Er2 0.168 0.354 0.947
Er3 0.211 0.260 0.339
Tm1 0.000 0.458 0.250
# energy relative to the lowest polymorph listed for this composition	0.128	eV per atom
# formation energy	0.1472	eV/atom


# 19
# PBE-GGA Ho2ErTm, optimized geometry
data_Ho2ErTm
_chemical_formula_sum 'Ho8 Er4 Tm4'
_symmetry_space_group_name_H-M 'F m -3 m'
_symmetry_Int_Tables_number 225
_symmetry_space_group_name_Hall '-F 4 2 3'
_cell_length_a 7.913
_cell_length_b 7.913
_cell_length_c 7.913
_cell_angle_alpha 90.00
_cell_angle_beta 90.00
_cell_angle_gamma 90.00
loop_
_atom_site_label
_atom_site_fract_x
_atom_site_fract_y
_atom_site_fract_z
Ho1 0.250 0.250 0.250
Er1 0.000 0.000 0.000
Tm1 0.000 0.000 0.500
# energy relative to the lowest polymorph listed for this composition	0.143	eV per atom
# formation energy	0.1415	eV/atom


# 20
# PBE-GGA HoEr4Tm10, optimized geometry
data_HoEr4Tm10
_chemical_formula_sum 'Ho2 Er8 Tm20'
_symmetry_space_group_name_H-M 'I 4/m'
_symmetry_Int_Tables_number 87
_symmetry_space_group_name_Hall '-I 4'
_cell_length_a 11.953
_cell_length_b 11.953
_cell_length_c 7.552
_cell_angle_alpha 90.00
_cell_angle_beta 90.00
_cell_angle_gamma 90.00
loop_
_atom_site_label
_atom_site_fract_x
_atom_site_fract_y
_atom_site_fract_z
Ho1 0.000 0.000 0.000
Er1 0.100 0.700 0.500
Tm1 0.000 0.500 0.250
Tm2 0.100 0.200 0.251
# formation energy	0.7273	eV/atom